Record 1
Entry from Alexandria: an optimized crystal structure of BaMg5Tl7 (PBE).

Fermi-level density of states = 0.4011 states/eV/atom

Cell and atoms, written as CIF:
```
data_BaMg5Tl7
_chemical_formula_sum 'Ba2 Mg10 Tl14'
_symmetry_space_group_name_H-M 'I m m 2'
_symmetry_Int_Tables_number 44
_symmetry_space_group_name_Hall 'I 2 -2'
_cell_length_a 6.3588
_cell_length_b 10.7657
_cell_length_c 10.4897
_cell_angle_alpha 90.00
_cell_angle_beta 90.00
_cell_angle_gamma 90.00
loop_
_atom_site_label
_atom_site_fract_x
_atom_site_fract_y
_atom_site_fract_z
Ba1 0.0000 0.0000 0.0000
Mg1 0.0000 0.5000 0.2577
Mg2 0.2468 0.2535 0.7438
Tl1 0.0000 0.0000 0.3536
Tl2 0.0000 0.0000 0.6577
Tl3 0.0000 0.3035 0.4852
Tl4 0.0000 0.3450 0.0015
Tl5 0.0000 0.5000 0.7196
```


Record 2
Entry from Alexandria: an optimized crystal structure of Ba2Mg12Tl5 (PBE).

Fermi-level density of states = 0.5571 states/eV/atom

Cell and atoms, written as CIF:
```
data_Ba2Mg12Tl5
_chemical_formula_sum 'Ba6 Mg36 Tl15'
_symmetry_space_group_name_H-M 'R -3 m'
_symmetry_Int_Tables_number 166
_symmetry_space_group_name_Hall '-R 3 2"'
_cell_length_a 10.8491
_cell_length_b 10.8491
_cell_length_c 15.3649
_cell_angle_alpha 90.00
_cell_angle_beta 90.00
_cell_angle_gamma 120.00
loop_
_atom_site_label
_atom_site_fract_x
_atom_site_fract_y
_atom_site_fract_z
Ba1 0.0000 0.0000 0.1676
Mg1 0.0000 0.3008 0.5000
Mg2 0.0073 0.5037 0.6553
Tl1 0.0000 0.0000 0.4000
Tl2 0.0000 0.5000 0.0000
```


Record 3
Entry from Alexandria: an optimized crystal structure of Ba2MgTl (PBE).

Fermi-level density of states = 1.6740 states/eV/atom

Cell and atoms, written as CIF:
```
data_Ba2MgTl
_chemical_formula_sum 'Ba8 Mg4 Tl4'
_symmetry_space_group_name_H-M 'I -4 2 d'
_symmetry_Int_Tables_number 122
_symmetry_space_group_name_Hall 'I -4 2bw'
_cell_length_a 9.6685
_cell_length_b 9.6685
_cell_length_c 7.7272
_cell_angle_alpha 90.00
_cell_angle_beta 90.00
_cell_angle_gamma 90.00
loop_
_atom_site_label
_atom_site_fract_x
_atom_site_fract_y
_atom_site_fract_z
Ba1 0.2369 0.2500 0.1250
Mg1 0.0000 0.0000 0.5000
Tl1 0.0000 0.0000 0.0000
```


Record 4
Entry from Alexandria: an optimized crystal structure of Ba2MgTl (PBE).

Fermi-level density of states = 0.7614 states/eV/atom

Cell and atoms, written as CIF:
```
data_Ba2MgTl
_chemical_formula_sum 'Ba2 Mg1 Tl1'
_symmetry_space_group_name_H-M 'P m m 2'
_symmetry_Int_Tables_number 25
_symmetry_space_group_name_Hall 'P 2 -2'
_cell_length_a 4.3081
_cell_length_b 6.1146
_cell_length_c 6.1149
_cell_angle_alpha 90.00
_cell_angle_beta 90.00
_cell_angle_gamma 90.00
loop_
_atom_site_label
_atom_site_fract_x
_atom_site_fract_y
_atom_site_fract_z
Ba1 0.0000 0.0000 0.0000
Ba2 0.0000 0.5000 0.4942
Mg1 0.5000 0.5000 0.9905
Tl1 0.5000 0.0000 0.5027
```


| no. | formation enthalpy at 0 K (eV/atom) | magnetization (μB per formula unit) |
| --- | --- | --- |
| 1 | -0.12 | 0.00 |
| 2 | -0.10 | 0.00 |
| 3 | 0.08 | 0.00 |
| 4 | -0.24 | 0.00 |